# Ta5Mo4, single point on PBEsol structure, DFT SCAN
data_Ta5Mo4
_cell_length_a 6.993
_cell_length_b 6.993
_cell_length_c 6.993
_cell_angle_alpha 92.98
_cell_angle_beta 92.98
_cell_angle_gamma 153.62
_symmetry_space_group_name_H-M 'P 1'
_symmetry_Int_Tables_number 1
loop_
_symmetry_equiv_pos_as_xyz
'x,y,z'
loop_
_atom_site_label
_atom_site_type_symbol
_atom_site_fract_x
_atom_site_fract_y
_atom_site_fract_z
Ta1 Ta 0.000 0.000 0.000
Ta2 Ta 0.333 0.333 0.666
Ta3 Ta 0.333 0.667 0.000
Ta4 Ta 0.667 0.333 0.000
Ta5 Ta 0.667 0.667 0.334
Mo1 Mo 0.000 0.338 0.338
Mo2 Mo 0.000 0.662 0.662
Mo3 Mo 0.338 0.000 0.338
Mo4 Mo 0.662 0.000 0.662
# - total moment (μB per atom) = 0.000
# - ΔE_f (eV/atom) = -0.10

# Sc3RuPt, single point on PBEsol structure, DFT SCAN
data_Sc3RuPt
_cell_length_a 4.883
_cell_length_b 4.883
_cell_length_c 4.883
_cell_angle_alpha 90.00
_cell_angle_beta 90.00
_cell_angle_gamma 90.00
_symmetry_space_group_name_H-M 'P 1'
_symmetry_Int_Tables_number 1
loop_
_symmetry_equiv_pos_as_xyz
'x,y,z'
loop_
_atom_site_label
_atom_site_type_symbol
_atom_site_fract_x
_atom_site_fract_y
_atom_site_fract_z
Sc1 Sc 0.000 0.000 0.500
Sc2 Sc 0.000 0.500 0.000
Sc3 Sc 0.500 0.000 0.000
Ru1 Ru 0.500 0.500 0.500
Pt1 Pt 0.000 0.000 0.000
# - total moment (μB per atom) = 0.000
# - ΔE_f (eV/atom) = 0.06

# Y3HfIn, single point on PBEsol structure, DFT SCAN
data_Y3HfIn
_cell_length_a 5.548
_cell_length_b 5.548
_cell_length_c 5.548
_cell_angle_alpha 90.00
_cell_angle_beta 90.00
_cell_angle_gamma 90.00
_symmetry_space_group_name_H-M 'P 1'
_symmetry_Int_Tables_number 1
loop_
_symmetry_equiv_pos_as_xyz
'x,y,z'
loop_
_atom_site_label
_atom_site_type_symbol
_atom_site_fract_x
_atom_site_fract_y
_atom_site_fract_z
Y1 Y 0.000 0.000 0.500
Y2 Y 0.000 0.500 0.000
Y3 Y 0.500 0.000 0.000
Hf1 Hf 0.500 0.500 0.500
In1 In 0.000 0.000 0.000
# - total moment (μB per atom) = 0.879
# - ΔE_f (eV/atom) = 0.68

# Rb3MgH5, single point on PBEsol structure, DFT SCAN
data_Rb3MgH5
_cell_length_a 8.200
_cell_length_b 8.200
_cell_length_c 8.200
_cell_angle_alpha 123.40
_cell_angle_beta 123.40
_cell_angle_gamma 84.20
_symmetry_space_group_name_H-M 'P 1'
_symmetry_Int_Tables_number 1
loop_
_symmetry_equiv_pos_as_xyz
'x,y,z'
loop_
_atom_site_label
_atom_site_type_symbol
_atom_site_fract_x
_atom_site_fract_y
_atom_site_fract_z
Rb1 Rb 0.178 0.678 0.857
Rb2 Rb 0.250 0.250 0.000
Rb3 Rb 0.322 0.178 0.500
Rb4 Rb 0.678 0.822 0.500
Rb5 Rb 0.750 0.750 0.000
Rb6 Rb 0.822 0.322 0.143
Mg1 Mg 0.250 0.750 0.500
Mg2 Mg 0.750 0.250 0.500
H1 H 0.000 0.000 0.000
H2 H 0.024 0.790 0.500
H3 H 0.210 0.710 0.234
H4 H 0.290 0.524 0.500
H5 H 0.476 0.976 0.766
H6 H 0.500 0.500 0.000
H7 H 0.524 0.024 0.234
H8 H 0.710 0.476 0.500
H9 H 0.790 0.290 0.766
H10 H 0.976 0.210 0.500
# - total moment (μB per atom) = 0.000
# - final energy (eV per atom) = -9.689

Short version: density = 14.464 6.147 5.446 2.581 g cm⁻³, in the order given.